# PmSm3Er5, optimized geometry, DFT PBE
# Relative energy among the computed polymorphs = 0.0 meV per atom
# Formation energy from the elements = 321 meV per atom
# DOS at the Fermi energy = 1.378 states/eV per atom
data_PmSm3Er5
_chemical_formula_sum 'Pm4 Sm12 Er20'
_space_group_name_H-M_alt 'C 1 2/c 1'
_space_group_IT_number 15
_space_group_name_Hall '-C 2yc'
_cell_length_a 20.0788
_cell_length_b 6.0876
_cell_length_c 11.4504
_cell_angle_alpha 90.00
_cell_angle_beta 121.64
_cell_angle_gamma 90.00
loop_
_atom_site_label
_atom_site_type_symbol
_atom_site_fract_x
_atom_site_fract_y
_atom_site_fract_z
Pm1 Pm 0.0000 0.0969 0.2500
Sm1 Sm 0.0000 0.0000 0.0000
Sm2 Sm 0.1834 0.2149 0.5392
Er1 Er 0.0000 0.4174 0.7500
Er2 Er 0.1402 0.3192 0.1416
Er3 Er 0.1787 0.2029 0.8375

***

# PmSm6Er12, optimized geometry, DFT PBE
# Relative energy among the computed polymorphs = 0.0 meV per atom
# Formation energy from the elements = 19 meV per atom
# DOS at the Fermi energy = 1.313 states/eV per atom
data_PmSm6Er12
_chemical_formula_sum 'Pm3 Sm18 Er36'
_space_group_name_H-M_alt 'R -3'
_space_group_IT_number 148
_space_group_name_Hall '-R 3'
_cell_length_a 15.4749
_cell_length_b 15.4749
_cell_length_c 8.6975
_cell_angle_alpha 90.00
_cell_angle_beta 90.00
_cell_angle_gamma 120.00
loop_
_atom_site_label
_atom_site_type_symbol
_atom_site_fract_x
_atom_site_fract_y
_atom_site_fract_z
Pm1 Pm 0.0000 0.0000 0.0000
Sm1 Sm 0.0352 0.7554 0.3340
Er1 Er 0.0177 0.8776 0.6666
Er2 Er 0.0706 0.5093 0.6666

***

# Pm8Sm3Er2, optimized geometry, DFT PBE
# Relative energy among the computed polymorphs = 54.3 meV per atom
# Formation energy from the elements = 215 meV per atom
# DOS at the Fermi energy = 1.495 states/eV per atom
data_Pm8Sm3Er2
_chemical_formula_sum 'Pm16 Sm6 Er4'
_space_group_name_H-M_alt 'C 1 2/m 1'
_space_group_IT_number 12
_space_group_name_Hall '-C 2y'
_cell_length_a 20.3231
_cell_length_b 7.7418
_cell_length_c 5.7662
_cell_angle_alpha 90.00
_cell_angle_beta 90.03
_cell_angle_gamma 90.00
loop_
_atom_site_label
_atom_site_type_symbol
_atom_site_fract_x
_atom_site_fract_y
_atom_site_fract_z
Pm1 Pm 0.1078 0.2071 0.0001
Pm2 Pm 0.1337 0.5000 0.4996
Pm3 Pm 0.1739 0.0000 0.5006
Sm1 Sm 0.0000 0.2114 0.5000
Sm2 Sm 0.0000 0.5000 0.0000
Er1 Er 0.2406 0.5000 0.9992

***

- Which value of relative energy among the computed polymorphs does entry 3 give?
  54.3 meV per atom